# PBE+U LiCrC2O6, relaxed
# N(E_F)	0.00	states/eV/f.u.
# distance to the lowest polymorph of the same formula	0.000	eV per atom
# total magnetization	3.0	μB per formula unit
data_LiCrC2O6
_cell_length_a 4.6662
_cell_length_b 4.6662
_cell_length_c 15.1957
_cell_angle_alpha 90.00
_cell_angle_beta 90.00
_cell_angle_gamma 120.00
_symmetry_space_group_name_H-M 'R -3'
_symmetry_Int_Tables_number 148
_symmetry_space_group_name_Hall '-R 3'
loop_
_atom_site_label
_atom_site_type_symbol
_atom_site_fract_x
_atom_site_fract_y
_atom_site_fract_z
Li1 Li 0.0000 0.0000 0.0000
Cr1 Cr 0.0000 0.0000 0.5000
C1 C 0.0000 0.0000 0.2437
O1 O 0.0154 0.2851 0.2445


# PBE+U Li2CrCO, relaxed
# N(E_F)	4.01	states/eV/f.u.
# DFT total energy	-3.8727	eV/atom
# total magnetization	2.3	μB per formula unit
data_Li2CrCO
_cell_length_a 5.079
_cell_length_b 5.079
_cell_length_c 3.506
_cell_angle_alpha 90.00
_cell_angle_beta 90.00
_cell_angle_gamma 90.00
_symmetry_space_group_name_H-M 'P 4/m m m'
_symmetry_Int_Tables_number 123
_symmetry_space_group_name_Hall '-P 4 2'
loop_
_atom_site_label
_atom_site_type_symbol
_atom_site_fract_x
_atom_site_fract_y
_atom_site_fract_z
Li1 Li 0.000 0.500 0.000
Cr1 Cr 0.000 0.000 0.000
C1 C 0.500 0.500 0.500
O1 O 0.000 0.000 0.500


# PBE+U LiCrCO4, relaxed
# N(E_F)	0.00	states/eV/f.u.
# distance to the lowest polymorph of the same formula	0.000	eV per atom
# total magnetization	3.0	μB per formula unit
data_LiCrCO4
_cell_length_a 9.398
_cell_length_b 3.105
_cell_length_c 9.336
_cell_angle_alpha 90.00
_cell_angle_beta 90.00
_cell_angle_gamma 90.00
_symmetry_space_group_name_H-M 'P n m a'
_symmetry_Int_Tables_number 62
_symmetry_space_group_name_Hall '-P 2ac 2n'
loop_
_atom_site_label
_atom_site_type_symbol
_atom_site_fract_x
_atom_site_fract_y
_atom_site_fract_z
Li1 Li 0.092 0.250 0.192
Cr1 Cr 0.120 0.250 0.560
C1 C 0.168 0.250 0.868
O1 O 0.000 0.250 0.387
O2 O 0.035 0.250 0.873
O3 O 0.241 0.250 0.749
O4 O 0.242 0.250 0.992


# PBE+U LiCrCO4, relaxed
# N(E_F)	0.00	states/eV/f.u.
# distance to the lowest polymorph of the same formula	0.360	eV per atom
# total magnetization	3.0	μB per formula unit
data_LiCrCO4
_cell_length_a 5.234
_cell_length_b 5.739
_cell_length_c 7.503
_cell_angle_alpha 90.00
_cell_angle_beta 90.00
_cell_angle_gamma 90.00
_symmetry_space_group_name_H-M 'I m m a'
_symmetry_Int_Tables_number 74
_symmetry_space_group_name_Hall '-I 2b 2'
loop_
_atom_site_label
_atom_site_type_symbol
_atom_site_fract_x
_atom_site_fract_y
_atom_site_fract_z
Li1 Li 0.250 0.250 0.250
Cr1 Cr 0.000 0.000 0.000
C1 C 0.000 0.250 0.639
O1 O 0.000 0.048 0.731
O2 O 0.229 0.250 0.508


# PBE+U LiCrC2O6, relaxed
# N(E_F)	0.00	states/eV/f.u.
# distance to the lowest polymorph of the same formula	0.070	eV per atom
# total magnetization	3.0	μB per formula unit
data_LiCrC2O6
_cell_length_a 4.957
_cell_length_b 7.825
_cell_length_c 6.439
_cell_angle_alpha 90.00
_cell_angle_beta 108.97
_cell_angle_gamma 90.00
_symmetry_space_group_name_H-M 'P 1 21 1'
_symmetry_Int_Tables_number 4
_symmetry_space_group_name_Hall 'P 2yb'
loop_
_atom_site_label
_atom_site_type_symbol
_atom_site_fract_x
_atom_site_fract_y
_atom_site_fract_z
Li1 Li 0.154 0.000 0.143
Cr1 Cr 0.499 0.544 0.258
C1 C 0.360 0.301 0.902
C2 C 0.369 0.285 0.393
O1 O 0.213 0.421 0.370
O2 O 0.225 0.157 0.886
O3 O 0.266 0.441 0.960
O4 O 0.286 0.136 0.440
O5 O 0.390 0.804 0.644
O6 O 0.407 0.796 0.151


# PBE+U Li6VCrP2C2O14, relaxed
# N(E_F)	0.00	states/eV/f.u.
# DFT total energy	-6.8438	eV/atom
# total magnetization	7.0	μB per formula unit
data_Li6VCrP2C2O14
_cell_length_a 5.004
_cell_length_b 6.528
_cell_length_c 8.641
_cell_angle_alpha 90.00
_cell_angle_beta 96.17
_cell_angle_gamma 90.00
_symmetry_space_group_name_H-M 'P 1 m 1'
_symmetry_Int_Tables_number 6
_symmetry_space_group_name_Hall 'P -2y'
loop_
_atom_site_label
_atom_site_type_symbol
_atom_site_fract_x
_atom_site_fract_y
_atom_site_fract_z
Li1 Li 0.000 0.000 0.000
Li2 Li 0.082 0.274 0.623
Li3 Li 0.526 0.230 0.170
Li4 Li 0.608 0.500 0.784
V1 V 0.600 0.000 0.568
Cr1 Cr 0.004 0.500 0.228
P1 P 0.073 0.000 0.306
P2 P 0.545 0.500 0.489
C1 C 0.132 0.500 0.934
C2 C 0.471 0.000 0.856
O1 O 0.223 0.500 0.799
O2 O 0.234 0.500 0.478
O3 O 0.290 0.000 0.734
O4 O 0.299 0.500 0.063
O5 O 0.387 0.000 0.324
O6 O 0.402 0.000 0.996
O7 O 0.634 0.500 0.323
O8 O 0.662 0.316 0.589
O9 O 0.721 0.000 0.828
O10 O 0.879 0.500 0.947
O11 O 0.963 0.185 0.203
O12 O 0.976 0.000 0.469